Tm4Zn (PBE-GGA, relaxed); magnetization = 0.000 μB per atom; excess energy over the best structure of this formula in the dataset = 0.0 meV/atom; V = 27.87 Å³ per atom; formation energy from the elements = 24 meV per atom; DOS(E_F) = 6.209 states/eV/f.u.
1.0
-7.099 0.880 1.355
-3.126 -2.770 4.061
-1.791 6.344 6.057
Tm Zn
8 2
Cartesian
-8.821 4.083 5.837
-6.370 3.834 8.245
-2.432 0.834 1.942
-9.584 3.620 9.530
-3.195 0.371 5.636
-4.837 3.352 5.336
-7.179 1.101 6.136
-5.646 0.620 3.228
-9.280 -0.652 4.898
-2.735 5.105 6.575